# 1
The following is a PBE-GGA calculation of an optimized crystal structure of NbCrW, from Alexandria via LeMat-Bulk.

Calculated formation energy = 0.2 eV per formula unit
Relative energy among the computed polymorphs = 0.118 eV/f.u.

a = 3.138 Å, b = 4.500 Å, c = 13.101 Å
α = 90.00°, β = 90.00°, γ = 90.00°
Fractional positions:
Nb (0.000, 0.000, 0.000)
Nb (0.000, 0.500, 0.500)
Nb (0.500, 0.000, 0.500)
Nb (0.500, 0.500, 0.000)
Cr (0.000, 0.000, 0.664)
Cr (0.000, 0.500, 0.164)
Cr (0.500, 0.000, 0.164)
Cr (0.500, 0.500, 0.664)
W (0.000, 0.000, 0.319)
W (0.000, 0.500, 0.819)
W (0.500, 0.000, 0.819)
W (0.500, 0.500, 0.319)

# 2
The following is a PBE-GGA calculation of an optimized crystal structure of V2ZnRe, from Alexandria via LeMat-Bulk.

Calculated formation energy = -0.4 eV per formula unit

a = 3.089 Å, b = 3.089 Å, c = 5.860 Å
α = 90.00°, β = 90.00°, γ = 90.00°
Fractional positions:
V (0.000, 0.000, 0.244)
V (0.000, 0.000, 0.756)
Zn (0.500, 0.500, 0.500)
Re (0.500, 0.500, 0.000)